1.
## Na3Tl2InO6 (PBE)

Data for a geometry-optimized Na3Tl2InO6 structure.

Unit cell a=5.8365 b=5.8365 c=5.9033 alpha=99.54 beta=99.54 gamma=119.95
Fractional positions:
1 O 0.6048 0.9264 0.7780
2 O 0.3952 0.0736 0.2220
3 Na 0.1672 0.8328 0.5000
4 O 0.0736 0.3952 0.2220
5 O 0.7522 0.7522 0.2199
6 O 0.2478 0.2478 0.7801
7 Na 0.8328 0.1672 0.5000
8 Na 0.5000 0.5000 0.5000
9 Tl 0.3333 0.6667 0.0000
10 Tl 0.6667 0.3333 0.0000
11 In 0.0000 0.0000 0.0000
12 O 0.9264 0.6048 0.7780

## Properties
raw total energy	-4.692	eV per atom
symmetry	C2/m (12)

=====

2.
## Tb2Zn3Ga2 (PBE)

Data for a geometry-optimized Tb2Zn3Ga2 structure.

Unit cell a=3.4229 b=4.1560 c=10.3363 alpha=101.60 beta=90.00 gamma=90.00
Fractional positions:
1 Ga 0.5000 0.7144 0.4287
2 Tb 0.0000 0.8473 0.6945
3 Zn 0.5000 0.4355 0.8710
4 Tb 0.0000 0.1527 0.3055
5 Zn 0.5000 0.5645 0.1290
6 Ga 0.5000 0.2856 0.5713
7 Zn 0.0000 0.0000 0.0000

## Properties
energy relative to the elements	-6.7	kcal/mol of atoms
raw total energy	-3.026	eV per atom
symmetry	Cmmm (65)
DOS(E_F)	0.35	states/eV per atom
offset from the most stable computed form	0.180	eV per atom

=====

3.
## ZrZn2Co (PBE)

Data for a geometry-optimized ZrZn2Co structure.

Unit cell a=4.6727 b=4.6727 c=4.6727 alpha=128.67 beta=128.70 gamma=75.52
Fractional positions:
1 Zn 0.9999 0.9999 0.0000
2 Zn 0.5001 0.5001 0.0000
3 Zr 0.7500 0.2500 0.5000
4 Co 0.2500 0.7500 0.5000

## Properties
energy relative to the elements	-2.8	kcal/mol of atoms
raw total energy	-4.670	eV per atom
symmetry	I4/mmm (139)
DOS(E_F)	0.72	states/eV per atom

=====

4.
## Sc2HPd (PBE)

Data for a geometry-optimized Sc2HPd structure.

Unit cell a=6.1285 b=6.1285 c=5.5267 alpha=56.33 beta=56.33 gamma=90.00
Fractional positions:
1 Sc 0.5450 0.1250 0.2500
2 Sc 0.8750 0.7950 0.7500
3 Pd 0.0000 0.0000 0.0000
4 H 0.2500 0.7500 0.5000
5 H 0.5000 0.5000 0.0000
6 Pd 0.7500 0.2500 0.5000
7 Sc 0.2050 0.6250 0.2500
8 Sc 0.3750 0.4550 0.7500

## Properties
raw total energy	-5.817	eV per atom
symmetry	I-42d (122)
DOS(E_F)	1.17	states/eV per atom
offset from the most stable computed form	0.000	eV per atom

=====

5.
## Tb3PuTe4 (PBE)

Data for a geometry-optimized Tb3PuTe4 structure.

Unit cell a=4.3617 b=7.6061 c=7.6061 alpha=109.12 beta=90.00 gamma=90.00
Site moments in Bohr magnetons follow the coordinates.
Fractional positions:
1 Te 0.5000 0.2511 0.7489  -0.01
2 Te 0.5000 0.7489 0.2511  -0.01
3 Tb 0.0000 0.0000 0.5000  0.06
4 Tb 0.5000 0.5000 0.5000  -0.04
5 Tb 0.0000 0.5000 0.0000  0.06
6 Pu 0.5000 0.0000 0.0000  5.57
7 Te 0.0000 0.7478 0.7478  -0.03
8 Te 0.0000 0.2522 0.2522  -0.03

## Properties
raw total energy	-6.374	eV per atom
symmetry	Cmmm (65)
DOS(E_F)	1.48	states/eV per atom

=====

6.
## Zr2Ga5Co3 (PBE)

Data for a geometry-optimized Zr2Ga5Co3 structure.

Unit cell a=5.2982 b=8.1723 c=8.1723 alpha=69.83 beta=71.09 gamma=71.09
Fractional positions:
1 Co 0.1524 0.2658 0.4293
2 Ga 0.4493 0.8007 0.8007
3 Ga 0.4213 0.2664 0.8910
4 Co 0.3476 0.5707 0.7342
5 Co 0.6524 0.4293 0.2658
6 Co 0.2500 0.0000 0.0000
7 Ga 0.2500 0.5000 0.5000
8 Ga 0.9493 0.8007 0.8007
9 Ga 0.5787 0.7336 0.1090
10 Co 0.7500 0.0000 0.0000
11 Zr 0.3488 0.8729 0.4296
12 Ga 0.0787 0.1090 0.7336
13 Zr 0.8488 0.4296 0.8729
14 Ga 0.0507 0.1993 0.1993
15 Zr 0.1512 0.5704 0.1271
16 Zr 0.6512 0.1271 0.5704
17 Ga 0.7500 0.5000 0.5000
18 Co 0.8476 0.7342 0.5707
19 Ga 0.9213 0.8910 0.2664
20 Ga 0.5507 0.1993 0.1993

## Properties
energy relative to the elements	-10.0	kcal/mol of atoms
raw total energy	-5.790	eV per atom
symmetry	Ibam (72)
DOS(E_F)	0.61	states/eV per atom
offset from the most stable computed form	0.000	eV per atom

=====

7.
## RbSr2GaAg (PBE)

Data for a geometry-optimized RbSr2GaAg structure.

Unit cell a=6.3232 b=5.0985 c=6.3232 alpha=90.00 beta=90.00 gamma=90.00
Fractional positions:
1 Rb 0.5000 0.5000 0.5000
2 Sr 0.5000 0.0000 0.0000
3 Ag 0.0000 0.0000 0.0000
4 Ga 0.0000 0.5000 0.0000
5 Sr 0.0000 0.0000 0.5000

## Properties
energy relative to the elements	0.4	kcal/mol of atoms
raw total energy	-2.024	eV per atom
symmetry	P4/mmm (123)
DOS(E_F)	0.89	states/eV per atom

=====

8.
## VGeMo3 (PBE)

Data for a geometry-optimized VGeMo3 structure.

Unit cell a=4.5268 b=4.5268 c=4.5268 alpha=90.00 beta=90.00 gamma=90.00
Fractional positions:
1 V 0.0000 0.0000 0.0000
2 Mo 0.0000 0.0000 0.5000
3 Mo 0.5000 0.0000 0.0000
4 Ge 0.5000 0.5000 0.5000
5 Mo 0.0000 0.5000 0.0000

## Properties
energy relative to the elements	30.2	kcal/mol of atoms
raw total energy	-7.937	eV per atom
symmetry	Pm-3m (221)
DOS(E_F)	1.39	states/eV per atom

=====

9.
## CdBCl3 (PBE)

Data for a geometry-optimized CdBCl3 structure.

Unit cell a=5.1701 b=5.1701 c=5.1701 alpha=90.00 beta=90.00 gamma=90.00
Fractional positions:
1 Cl 0.0000 0.0000 0.5000
2 Cl 0.5000 0.0000 0.0000
3 Cl 0.0000 0.5000 0.0000
4 B 0.5000 0.5000 0.5000
5 Cd 0.0000 0.0000 0.0000

## Properties
raw total energy	-2.295	eV per atom
symmetry	Pm-3m (221)
DOS(E_F)	0.00	states/eV per atom
offset from the most stable computed form	0.208	eV per atom

=====

10.
## BeAsPt (PBE)

Data for a geometry-optimized BeAsPt structure.

Unit cell a=3.9301 b=2.7578 c=12.2665 alpha=90.00 beta=90.00 gamma=135.44
Fractional positions:
1 Pt 0.0265 0.0530 0.0000
2 Be 0.0290 0.0581 0.6144
3 As 0.0265 0.0530 0.1986
4 As 0.0265 0.0530 0.8014
5 Pt 0.5290 0.0580 0.5000
6 Be 0.0290 0.0581 0.3856

## Properties
energy relative to the elements	-4.4	kcal/mol of atoms
raw total energy	-4.997	eV per atom
symmetry	Amm2 (38)
DOS(E_F)	0.36	states/eV per atom
offset from the most stable computed form	0.118	eV per atom

=====

11.
## Re2AuSe (PBE)

Data for a geometry-optimized Re2AuSe structure.

Unit cell a=5.3495 b=5.3495 c=4.9267 alpha=70.34 beta=70.34 gamma=31.52
Fractional positions:
1 Re 0.0229 0.0229 0.9060
2 Se 0.4712 0.4712 0.5493
3 Au 0.2611 0.2611 0.2591
4 Re 0.7448 0.7448 0.7855

## Properties
raw total energy	-7.313	eV per atom
symmetry	Cm (8)
DOS(E_F)	0.65	states/eV per atom